(1)
Nd3ErAl PBE-GGA optimized geometry; DOS at the Fermi energy = 12.6 states/eV/cell
1.0
6.641 -1.839 0.000
6.641 1.839 0.000
-1.277 0.000 12.515
Nd Er Al
6 2 2
direct
0.037 0.037 0.195
0.142 0.142 0.446
0.362 0.362 0.021
0.638 0.638 0.979
0.858 0.858 0.554
0.963 0.963 0.805
0.218 0.218 0.746
0.782 0.782 0.254
0.447 0.447 0.378
0.553 0.553 0.622

***

(2)
Nd3ErAl PBE-GGA optimized geometry; DOS at the Fermi energy = 11.6 states/eV/cell
1.0
5.294 0.000 0.000
0.000 7.945 0.000
0.000 0.000 7.424
Nd Er Al
6 2 2
direct
0.250 0.054 0.209
0.250 0.250 0.736
0.250 0.446 0.209
0.750 0.554 0.791
0.750 0.750 0.264
0.750 0.946 0.791
0.250 0.750 0.560
0.750 0.250 0.440
0.250 0.750 0.955
0.750 0.250 0.045

***

Short version: (1) is the most stable of them.

***

(1)
Nd4ErAl PBE-GGA optimized geometry; DOS at the Fermi energy = 7.1 states/eV/cell
1.0
3.610 0.000 0.000
0.000 3.610 0.000
0.000 0.000 14.495
Nd Er Al
4 1 1
direct
0.000 0.000 0.137
0.000 0.000 0.863
0.500 0.500 0.324
0.500 0.500 0.676
0.000 0.000 0.500
0.500 0.500 0.000

***

(2)
Nd4ErAl PBE-GGA optimized geometry; DOS at the Fermi energy = 16.3 states/eV/cell
1.0
4.485 -7.072 0.000
4.485 7.072 0.000
-2.107 0.000 6.023
Nd Er Al
8 2 2
direct
0.084 0.716 0.952
0.170 0.394 0.625
0.284 0.916 0.548
0.394 0.170 0.125
0.606 0.830 0.875
0.716 0.084 0.452
0.830 0.606 0.375
0.916 0.284 0.048
0.409 0.591 0.250
0.591 0.409 0.750
0.000 0.000 0.250
0.000 0.000 0.750

***

Short version: (1) is the most stable of them.

***

(1)
NdEr4Al PBE-GGA optimized geometry; DOS at the Fermi energy = 11.8 states/eV/cell
1.0
2.656 -6.003 0.000
2.656 6.003 0.000
0.000 0.000 10.905
Nd Er Al
2 8 2
direct
0.182 0.818 0.500
0.818 0.182 0.000
0.027 0.973 0.790
0.179 0.821 0.074
0.319 0.681 0.787
0.496 0.504 0.531
0.504 0.496 0.031
0.681 0.319 0.287
0.821 0.179 0.574
0.973 0.027 0.290
0.352 0.648 0.278
0.648 0.352 0.778

***

(2)
NdEr4Al PBE-GGA optimized geometry; DOS at the Fermi energy = 7.0 states/eV/cell
1.0
3.537 0.000 0.000
0.000 3.537 0.000
0.000 0.000 13.896
Nd Er Al
1 4 1
direct
0.000 0.000 0.000
0.000 0.000 0.366
0.000 0.000 0.634
0.500 0.500 0.184
0.500 0.500 0.816
0.500 0.500 0.500

***

Short version: (2) is the most stable of them.

***

(1)
NdEr3Al8 PBE-GGA optimized geometry; DOS at the Fermi energy = 10.1 states/eV/cell
1.0
2.780 1.605 9.135
-2.780 1.605 9.135
0.000 -3.210 9.135
Nd Er Al
1 3 8
direct
0.000 0.000 0.000
0.125 0.125 0.125
0.501 0.501 0.501
0.624 0.624 0.624
0.062 0.062 0.561
0.062 0.561 0.062
0.064 0.563 0.563
0.312 0.312 0.312
0.561 0.062 0.062
0.563 0.064 0.563
0.563 0.563 0.064
0.813 0.813 0.813

***

(2)
NdEr3Al8 PBE-GGA optimized geometry; DOS at the Fermi energy = 5.7 states/eV/cell
1.0
5.560 0.000 0.000
-2.780 4.815 0.000
0.000 0.000 9.133
Nd Er Al
1 3 8
direct
0.000 0.000 0.000
0.000 0.000 0.365
0.667 0.333 0.499
0.667 0.333 0.863
0.162 0.324 0.679
0.162 0.838 0.679
0.333 0.667 0.434
0.333 0.667 0.930
0.504 0.009 0.186
0.504 0.496 0.186
0.676 0.838 0.679
0.991 0.496 0.186

***

Short version: (1) is the most stable of them.

***

(1)
PmNdErAl PBE-GGA optimized geometry; DOS at the Fermi energy = 3.5 states/eV/cell
1.0
3.545 0.000 0.000
0.000 3.545 0.000
0.000 0.000 9.247
Pm Nd Er Al
1 1 1 1
direct
0.000 0.000 0.000
0.500 0.500 0.300
0.000 0.000 0.581
0.500 0.500 0.782

***

(2)
PmNdErAl PBE-GGA optimized geometry; DOS at the Fermi energy = 6.4 states/eV/cell
1.0
0.000 3.841 3.841
3.841 0.000 3.841
3.841 3.841 0.000
Pm Nd Er Al
1 1 1 1
direct
0.000 0.000 0.000
0.500 0.500 0.500
0.250 0.250 0.250
0.750 0.750 0.750

***

Short version: (1) is the most stable of them.

***

(1)
TbNdErAl PBE-GGA optimized geometry; DOS at the Fermi energy = 6.8 states/eV/cell
1.0
0.000 3.816 3.816
3.816 0.000 3.816
3.816 3.816 0.000
Tb Nd Er Al
1 1 1 1
direct
0.000 0.000 0.000
0.500 0.500 0.500
0.250 0.250 0.250
0.750 0.750 0.750

***

(2)
TbNdErAl PBE-GGA optimized geometry; DOS at the Fermi energy = 3.3 states/eV/cell
1.0
3.532 0.000 0.000
0.000 3.532 0.000
0.000 0.000 9.102
Tb Nd Er Al
1 1 1 1
direct
0.000 0.000 0.000
0.500 0.500 0.294
0.000 0.000 0.582
0.500 0.500 0.788

***

Short version: (2) is the most stable of them.